VASP calculation (GGA-PBE) on a relaxed La3I2N2 crystal.

The structure belongs to space group P-1 (No. 2); the cell edges are 3.780, 6.527 and 8.532 Å and the angles 100.26°, 90.07° and 106.71°. The inequivalent atoms are La at (0.000, 0.000, 0.000), La at (0.223, 0.446, 0.817), I at (0.117, 0.231, 0.374) and N at (0.360, 0.721, 0.042).

The density of states at the Fermi level is 3.2 states/eV/f.u. For the formation energy (no corrections), the calculation gives -9.59 eV/f.u. As for the energy above the lowest structure with this stoichiometry: 120 meV/atom. Its total energy is -6.30 eV/atom.